Computed, not measured: a crystal of Nb3B2Ru5 relaxed with PBEsol at the SCAN level of DFT.

Results
* density: 10.19 Mg/m³
* space-group type: P4/mbm, No. 127
* calculated formation energy: -0.543 eV/atom

a b c (Å): 9.377 9.377 2.985
angles (deg): 90.00 90.00 90.00
Fractional coordinates of all 20 atoms:
1 Nb 0.000 0.000 0.000
2 Nb 0.177 0.323 0.000
3 Nb 0.323 0.823 0.000
4 Nb 0.500 0.500 0.000
5 Nb 0.677 0.177 0.000
6 Nb 0.823 0.677 0.000
7 B 0.121 0.621 0.000
8 B 0.379 0.121 0.000
9 B 0.621 0.879 0.000
10 B 0.879 0.379 0.000
11 Ru 0.000 0.500 0.500
12 Ru 0.071 0.781 0.500
13 Ru 0.219 0.071 0.500
14 Ru 0.281 0.571 0.500
15 Ru 0.429 0.281 0.500
16 Ru 0.500 0.000 0.500
17 Ru 0.571 0.719 0.500
18 Ru 0.719 0.429 0.500
19 Ru 0.781 0.929 0.500
20 Ru 0.929 0.219 0.500